#a
Entry from Alexandria: a relaxed structure of ErMgAu4 (GGA-PBE).

Lattice parameters (Å, degrees): 5.565 5.565 5.565 60.00 60.00 60.00
Sites, in units of the cell vectors:
Mg (0.250, 0.250, 0.250)
Au (0.625, 0.625, 0.126)
Au (0.625, 0.126, 0.625)
Au (0.625, 0.625, 0.625)
Au (0.126, 0.625, 0.625)
Er (0.000, 0.000, 0.000)

## Properties
Total magnetic moment: 0.00 μB per formula unit

#b
Entry from Alexandria: a relaxed structure of ErMgAu4 (GGA-PBE).

Lattice parameters (Å, degrees): 4.394 4.393 7.102 89.97 89.95 89.77
Sites, in units of the cell vectors:
Er (0.500, 0.499, 0.998)
Mg (0.002, 0.996, 0.498)
Au (0.502, 0.998, 0.270)
Au (0.502, 0.998, 0.726)
Au (0.001, 0.496, 0.726)
Au (0.000, 0.497, 0.270)

## Properties
Total magnetic moment: 0.00 μB per formula unit

Most stable to least stable, the ends of the list are #a and #b.

#a
Entry from Alexandria: a relaxed structure of Er2MgAu (GGA-PBE).

Lattice parameters (Å, degrees): 5.149 5.149 5.149 60.00 60.00 60.00
Sites, in units of the cell vectors:
Mg (0.500, 0.500, 0.500)
Au (0.000, 0.000, 0.000)
Er (0.250, 0.250, 0.250)
Er (0.750, 0.750, 0.750)

## Properties
Total magnetic moment: 0.00 μB per formula unit

#b
Entry from Alexandria: a relaxed structure of Er2MgAu (GGA-PBE).

Lattice parameters (Å, degrees): 3.674 3.674 7.213 90.00 90.00 90.00
Sites, in units of the cell vectors:
Mg (0.500, 0.500, 0.500)
Au (0.500, 0.500, 0.000)
Er (0.000, 0.000, 0.766)
Er (0.000, 0.000, 0.234)

## Properties
Total magnetic moment: 0.00 μB per formula unit

Most stable to least stable, the ends of the list are #b and #a.

#a
Entry from Alexandria: a relaxed structure of Er3Mg2Au3 (GGA-PBE).

Lattice parameters (Å, degrees): 3.502 5.091 10.683 103.78 99.43 90.00
Sites, in units of the cell vectors:
Er (0.622, 0.622, 0.244)
Er (0.378, 0.378, 0.756)
Er (0.500, 0.000, 0.000)
Mg (0.734, 0.234, 0.468)
Mg (0.266, 0.766, 0.532)
Au (0.125, 0.125, 0.250)
Au (0.000, 0.500, 0.000)
Au (0.875, 0.875, 0.750)

## Properties
Total magnetic moment: 0.00 μB per formula unit

#b
Entry from Alexandria: a relaxed structure of Er3Mg2Au3 (GGA-PBE).

Lattice parameters (Å, degrees): 5.772 8.520 8.520 120.00 90.00 90.00
Sites, in units of the cell vectors:
Er (0.750, 0.261, 0.000)
Er (0.750, 0.739, 0.739)
Er (0.750, 0.000, 0.261)
Er (0.250, 0.739, 0.000)
Er (0.250, 0.261, 0.261)
Er (0.250, 0.000, 0.739)
Mg (0.000, 0.333, 0.667)
Mg (0.500, 0.667, 0.333)
Mg (0.000, 0.667, 0.333)
Mg (0.500, 0.333, 0.667)
Au (0.750, 0.609, 0.000)
Au (0.750, 0.391, 0.391)
Au (0.750, 0.000, 0.609)
Au (0.250, 0.391, 0.000)
Au (0.250, 0.609, 0.609)
Au (0.250, 0.000, 0.391)

## Properties
Total magnetic moment: 0.00 μB per formula unit

Most stable to least stable, the ends of the list are #b and #a.

#a
Entry from Alexandria: a relaxed structure of PrErMgAu (GGA-PBE).

Lattice parameters (Å, degrees): 3.739 3.739 7.471 90.00 90.00 90.00
Sites, in units of the cell vectors:
Pr (0.000, 0.000, 0.866)
Er (0.000, 0.000, 0.336)
Mg (0.500, 0.500, 0.587)
Au (0.500, 0.500, 0.139)

## Properties
Total magnetic moment: 0.00 μB per formula unit

#b
Entry from Alexandria: a relaxed structure of PrErMgAu (GGA-PBE).

Lattice parameters (Å, degrees): 5.280 5.280 5.280 60.00 60.00 60.00
Sites, in units of the cell vectors:
Pr (0.750, 0.750, 0.750)
Mg (0.500, 0.500, 0.500)
Au (0.000, 0.000, 0.000)
Er (0.250, 0.250, 0.250)

## Properties
Total magnetic moment: 0.00 μB per formula unit

Most stable to least stable, the ends of the list are #a and #b.